# 1
{
  "formula": "RbAlBO2",
  "functional": "PBE-GGA",
  "state": "optimized geometry",
  "e_tot_ev_per_cell": -16.8,
  "formation_energy_uncorrected_ev_per_atom": 0.908,
  "total_magnetization_mub_per_cell": 0.35,
  "cell": [[3.9481, 0.0000, 0.0000], [0.0000, 3.9481, 0.0000], [0.0000, 0.0000, 4.6465]],
  "species": ["Rb", "Al", "B", "O", "O"],
  "frac_coords": [[0.0000, 0.0000, 0.0000], [0.5000, 0.5000, 0.0000], [0.0000, 0.0000, 0.5000], [0.0000, 0.5000, 0.5000], [0.5000, 0.0000, 0.5000]]
}

=====

# 2
{
  "formula": "AlBSO2",
  "functional": "PBE-GGA",
  "state": "optimized geometry",
  "e_tot_ev_per_cell": -26.3,
  "formation_energy_uncorrected_ev_per_atom": -0.364,
  "total_magnetization_mub_per_cell": 0.02,
  "cell": [[3.3806, 0.0000, 0.0000], [0.0000, 3.3806, 0.0000], [0.0000, 0.0000, 8.2720]],
  "species": ["Al", "B", "S", "O", "O"],
  "frac_coords": [[0.0000, 0.0000, 0.0000], [0.0000, 0.0000, 0.5000], [0.5000, 0.5000, 0.5000], [0.0000, 0.5000, 0.0000], [0.5000, 0.0000, 0.0000]]
}

=====

# 3
{
  "formula": "Al3SnB4O12",
  "functional": "PBE-GGA",
  "state": "optimized geometry",
  "e_tot_ev_per_cell": -151.1,
  "formation_energy_uncorrected_ev_per_atom": -2.483,
  "total_magnetization_mub_per_cell": 0.00,
  "cell": [[4.6954, 2.7109, 2.4254], [-4.6954, 2.7109, 2.4254], [0.0000, -5.4218, 2.4254]],
  "species": ["Al", "Al", "Al", "Sn", "B", "B", "B", "B", "O", "O", "O", "O", "O", "O", "O", "O", "O", "O", "O", "O"],
  "frac_coords": [[0.0000, 0.5567, 0.4433], [0.4433, 0.0000, 0.5567], [0.5567, 0.4433, 0.0000], [0.0000, 0.0000, 0.0000], [0.0551, 0.5000, 0.9449], [0.5000, 0.5000, 0.5000], [0.5000, 0.9449, 0.0551], [0.9449, 0.0551, 0.5000], [0.0318, 0.6272, 0.7797], [0.0920, 0.9080, 0.5000], [0.2203, 0.3728, 0.9682], [0.3517, 0.6483, 0.5000], [0.3728, 0.9682, 0.2203], [0.5000, 0.0920, 0.9080], [0.5000, 0.3517, 0.6483], [0.6272, 0.7797, 0.0318], [0.6483, 0.5000, 0.3517], [0.7797, 0.0318, 0.6272], [0.9080, 0.5000, 0.0920], [0.9682, 0.2203, 0.3728]]
}

=====

# 4
{
  "formula": "Al2SnBO",
  "functional": "PBE-GGA",
  "state": "optimized geometry",
  "e_tot_ev_per_cell": -17.3,
  "formation_energy_uncorrected_ev_per_atom": 1.158,
  "total_magnetization_mub_per_cell": 0.00,
  "cell": [[5.3564, 0.0000, 0.0000], [0.0000, 5.3564, 0.0000], [0.0000, 0.0000, 4.0097]],
  "species": ["Al", "Al", "Sn", "B", "O"],
  "frac_coords": [[0.0000, 0.5000, 0.0000], [0.5000, 0.0000, 0.0000], [0.0000, 0.0000, 0.0000], [0.5000, 0.5000, 0.5000], [0.0000, 0.0000, 0.5000]]
}

=====

# 5
{
  "formula": "Sr2AlB2O6",
  "functional": "PBE-GGA",
  "state": "optimized geometry",
  "e_tot_ev_per_cell": -78.9,
  "formation_energy_uncorrected_ev_per_atom": -2.612,
  "total_magnetization_mub_per_cell": 0.98,
  "cell": [[2.5827, 1.4911, 5.0165], [-2.5827, 1.4911, 5.0165], [0.0000, -2.9822, 5.0165]],
  "species": ["Sr", "Sr", "Al", "B", "B", "O", "O", "O", "O", "O", "O"],
  "frac_coords": [[0.2303, 0.2303, 0.2303], [0.7697, 0.7697, 0.7697], [0.0000, 0.0000, 0.0000], [0.4299, 0.4299, 0.4299], [0.5701, 0.5701, 0.5701], [0.2508, 0.2508, 0.7283], [0.2508, 0.7283, 0.2508], [0.2717, 0.7492, 0.7492], [0.7283, 0.2508, 0.2508], [0.7492, 0.2717, 0.7492], [0.7492, 0.7492, 0.2717]]
}

=====

# 6
{
  "formula": "SrAlBO4",
  "functional": "PBE-GGA",
  "state": "optimized geometry",
  "e_tot_ev_per_cell": -50.4,
  "polymorph_energy_mev_per_atom": 192,
  "formation_energy_uncorrected_ev_per_atom": -2.643,
  "total_magnetization_mub_per_cell": 0.00,
  "cell": [[0.0000, 3.6705, 3.6705], [3.6705, 0.0000, 3.6705], [3.6705, 3.6705, 0.0000]],
  "species": ["Sr", "Al", "B", "O", "O", "O", "O"],
  "frac_coords": [[0.0000, 0.0000, 0.0000], [0.7500, 0.7500, 0.7500], [0.5000, 0.5000, 0.5000], [0.1535, 0.6155, 0.6155], [0.6155, 0.1535, 0.6155], [0.6155, 0.6155, 0.1535], [0.6155, 0.6155, 0.6155]]
}

=====

# 7
{
  "formula": "SrAl2B2O7",
  "functional": "PBE-GGA",
  "state": "optimized geometry",
  "e_tot_ev_per_cell": -183.0,
  "formation_energy_uncorrected_ev_per_atom": -2.858,
  "total_magnetization_mub_per_cell": 0.17,
  "cell": [[2.4767, 1.4299, 16.1772], [-2.4767, 1.4299, 16.1772], [0.0000, -2.8598, 16.1772]],
  "species": ["Sr", "Sr", "Al", "Al", "Al", "Al", "B", "B", "B", "B", "O", "O", "O", "O", "O", "O", "O", "O", "O", "O", "O", "O", "O", "O"],
  "frac_coords": [[0.0000, 0.0000, 0.0000], [0.5000, 0.5000, 0.5000], [0.2152, 0.2152, 0.2152], [0.2848, 0.2848, 0.2848], [0.7152, 0.7152, 0.7152], [0.7848, 0.7848, 0.7848], [0.1325, 0.1325, 0.1325], [0.3675, 0.3675, 0.3675], [0.6325, 0.6325, 0.6325], [0.8675, 0.8675, 0.8675], [0.0627, 0.4253, 0.6107], [0.0747, 0.4373, 0.8893], [0.1107, 0.9253, 0.5627], [0.2500, 0.2500, 0.2500], [0.3893, 0.9373, 0.5747], [0.4253, 0.6107, 0.0627], [0.4373, 0.8893, 0.0747], [0.5627, 0.1107, 0.9253], [0.5747, 0.3893, 0.9373], [0.6107, 0.0627, 0.4253], [0.7500, 0.7500, 0.7500], [0.8893, 0.0747, 0.4373], [0.9253, 0.5627, 0.1107], [0.9373, 0.5747, 0.3893]]
}

=====

# 8
{
  "formula": "SrAlBO4",
  "functional": "PBE-GGA",
  "state": "optimized geometry",
  "e_tot_ev_per_cell": -414.2,
  "polymorph_energy_mev_per_atom": 0,
  "formation_energy_uncorrected_ev_per_atom": -2.835,
  "total_magnetization_mub_per_cell": 0.00,
  "cell": [[8.9952, 0.0000, 0.0000], [0.0000, 14.3556, 0.0000], [0.0000, 0.0000, 5.8868]],
  "species": ["Sr", "Sr", "Sr", "Sr", "Sr", "Sr", "Sr", "Sr", "Al", "Al", "Al", "Al", "Al", "Al", "Al", "Al", "B", "B", "B", "B", "B", "B", "B", "B", "O", "O", "O", "O", "O", "O", "O", "O", "O", "O", "O", "O", "O", "O", "O", "O", "O", "O", "O", "O", "O", "O", "O", "O", "O", "O", "O", "O", "O", "O", "O", "O"],
  "frac_coords": [[0.0799, 0.1512, 0.2058], [0.0799, 0.3488, 0.7058], [0.4201, 0.1512, 0.7058], [0.4201, 0.3488, 0.2058], [0.5799, 0.6512, 0.7942], [0.5799, 0.8488, 0.2942], [0.9201, 0.6512, 0.2942], [0.9201, 0.8488, 0.7942], [0.2100, 0.5710, 0.6311], [0.2100, 0.9290, 0.1311], [0.2900, 0.5710, 0.1311], [0.2900, 0.9290, 0.6311], [0.7100, 0.0710, 0.3689], [0.7100, 0.4290, 0.8689], [0.7900, 0.0710, 0.8689], [0.7900, 0.4290, 0.3689], [0.0968, 0.0879, 0.7157], [0.0968, 0.4121, 0.2157], [0.4032, 0.0879, 0.2157], [0.4032, 0.4121, 0.7157], [0.5968, 0.5879, 0.2843], [0.5968, 0.9121, 0.7843], [0.9032, 0.5879, 0.7843], [0.9032, 0.9121, 0.2843], [0.0273, 0.5387, 0.7204], [0.0273, 0.9613, 0.2204], [0.1153, 0.1805, 0.7678], [0.1153, 0.3195, 0.2678], [0.1971, 0.6241, 0.3608], [0.1971, 0.8759, 0.8608], [0.2091, 0.0435, 0.5910], [0.2091, 0.4565, 0.0910], [0.2909, 0.0435, 0.0910], [0.2909, 0.4565, 0.5910], [0.3029, 0.6241, 0.8608], [0.3029, 0.8759, 0.3608], [0.3847, 0.1805, 0.2678], [0.3847, 0.3195, 0.7678], [0.4727, 0.5387, 0.2204], [0.4727, 0.9613, 0.7204], [0.5273, 0.0387, 0.2796], [0.5273, 0.4613, 0.7796], [0.6153, 0.6805, 0.2322], [0.6153, 0.8195, 0.7322], [0.6971, 0.1241, 0.6392], [0.6971, 0.3759, 0.1392], [0.7091, 0.5435, 0.4090], [0.7091, 0.9565, 0.9090], [0.7909, 0.5435, 0.9090], [0.7909, 0.9565, 0.4090], [0.8029, 0.1241, 0.1392], [0.8029, 0.3759, 0.6392], [0.8847, 0.6805, 0.7322], [0.8847, 0.8195, 0.2322], [0.9727, 0.0387, 0.7796], [0.9727, 0.4613, 0.2796]]
}

=====

# 9
{
  "formula": "SrAl2B2O7",
  "functional": "PBE-GGA",
  "state": "optimized geometry",
  "e_tot_ev_per_cell": -91.5,
  "formation_energy_uncorrected_ev_per_atom": -2.857,
  "total_magnetization_mub_per_cell": 0.08,
  "cell": [[4.2807, -2.4708, 0.0000], [4.2807, 2.4708, 0.0000], [-2.8527, 0.0000, 8.1240]],
  "species": ["Sr", "Al", "Al", "B", "B", "O", "O", "O", "O", "O", "O", "O"],
  "frac_coords": [[0.0000, 0.0000, 0.0000], [0.4294, 0.4306, 0.2920], [0.5694, 0.5706, 0.7080], [0.2653, 0.2659, 0.7940], [0.7341, 0.7347, 0.2060], [0.0350, 0.6744, 0.1980], [0.3256, 0.9650, 0.8020], [0.4857, 0.0360, 0.1994], [0.4982, 0.5018, 0.5000], [0.5139, 0.3260, 0.8018], [0.6740, 0.4861, 0.1982], [0.9640, 0.5143, 0.8006]]
}

=====

# 10
{
  "formula": "SrAl3B4O12",
  "functional": "PBE-GGA",
  "state": "optimized geometry",
  "e_tot_ev_per_cell": -152.1,
  "formation_energy_uncorrected_ev_per_atom": -2.648,
  "total_magnetization_mub_per_cell": 0.90,
  "cell": [[4.7024, 2.7149, 2.5166], [-4.7024, 2.7149, 2.5166], [0.0000, -5.4299, 2.5166]],
  "species": ["Sr", "Al", "Al", "Al", "B", "B", "B", "B", "O", "O", "O", "O", "O", "O", "O", "O", "O", "O", "O", "O"],
  "frac_coords": [[0.0000, 0.0000, 0.0000], [0.0000, 0.5578, 0.4422], [0.4422, 0.0000, 0.5578], [0.5578, 0.4422, 0.0000], [0.0602, 0.5000, 0.9398], [0.5000, 0.5000, 0.5000], [0.5000, 0.9398, 0.0602], [0.9398, 0.0602, 0.5000], [0.0260, 0.6117, 0.7659], [0.0895, 0.9105, 0.5000], [0.2341, 0.3883, 0.9740], [0.3520, 0.6480, 0.5000], [0.3883, 0.9740, 0.2341], [0.5000, 0.0895, 0.9105], [0.5000, 0.3520, 0.6480], [0.6117, 0.7659, 0.0260], [0.6480, 0.5000, 0.3520], [0.7659, 0.0260, 0.6117], [0.9105, 0.5000, 0.0895], [0.9740, 0.2341, 0.3883]]
}

=====

# 11
{
  "formula": "AlTl2BO4",
  "functional": "PBE-GGA",
  "state": "optimized geometry",
  "e_tot_ev_per_cell": -98.5,
  "formation_energy_uncorrected_ev_per_atom": -1.783,
  "total_magnetization_mub_per_cell": 0.00,
  "cell": [[0.0000, 5.5388, 10.6622], [2.2560, 0.0000, 10.6622], [2.2560, 5.5388, 0.0000]],
  "species": ["Al", "Al", "Tl", "Tl", "Tl", "Tl", "B", "B", "O", "O", "O", "O", "O", "O", "O", "O"],
  "frac_coords": [[0.1250, 0.1250, 0.1250], [0.8750, 0.8750, 0.8750], [0.0503, 0.0503, 0.6997], [0.3003, 0.3003, 0.9497], [0.6997, 0.6997, 0.0503], [0.9497, 0.9497, 0.3003], [0.3750, 0.3750, 0.3750], [0.6250, 0.6250, 0.6250], [0.0502, 0.6231, 0.5441], [0.2826, 0.5441, 0.6231], [0.3769, 0.9498, 0.7174], [0.4559, 0.7174, 0.9498], [0.5441, 0.2826, 0.0502], [0.6231, 0.0502, 0.2826], [0.7174, 0.4559, 0.3769], [0.9498, 0.3769, 0.4559]]
}

=====

# 12
{
  "formula": "TmAlB2O6",
  "functional": "PBE-GGA",
  "state": "optimized geometry",
  "e_tot_ev_per_cell": -160.1,
  "formation_energy_uncorrected_ev_per_atom": -2.875,
  "total_magnetization_mub_per_cell": 0.00,
  "cell": [[3.9106, -4.4974, 0.0000], [3.9106, 4.4974, 0.0000], [-1.5059, 0.0000, 5.6719]],
  "species": ["Tm", "Tm", "Al", "Al", "B", "B", "B", "B", "O", "O", "O", "O", "O", "O", "O", "O", "O", "O", "O", "O"],
  "frac_coords": [[0.1245, 0.8755, 0.7500], [0.8755, 0.1245, 0.2500], [0.3100, 0.6900, 0.2500], [0.6900, 0.3100, 0.7500], [0.2021, 0.3709, 0.7847], [0.3709, 0.2021, 0.2847], [0.6291, 0.7979, 0.7153], [0.7979, 0.6291, 0.2153], [0.0124, 0.7455, 0.3485], [0.2167, 0.5876, 0.9176], [0.2434, 0.3757, 0.2793], [0.2545, 0.9876, 0.1515], [0.3757, 0.2434, 0.7793], [0.4124, 0.7833, 0.5824], [0.5876, 0.2167, 0.4176], [0.6243, 0.7566, 0.2207], [0.7455, 0.0124, 0.8485], [0.7566, 0.6243, 0.7207], [0.7833, 0.4124, 0.0824], [0.9876, 0.2545, 0.6515]]
}